# Li2TbSc2Sn2

A geometry-optimized Li2TbSc2Sn2 structure (PBE-GGA, the Alexandria database).

Values from the calculation:
- space-group type = R-3m
- formation energy from the elements (eV per formula unit) = -3.2

Lattice parameters (Å, degrees): 4.691 4.691 8.789 74.52 74.52 60.00
Positions (direct):
Li: 0.421 0.421 0.737
Li: 0.579 0.579 0.263
Sc: 0.867 0.867 0.399
Tb: 0.000 0.000 0.000
Sn: 0.258 0.258 0.225
Sn: 0.742 0.742 0.775
Sc: 0.133 0.133 0.601